Record 1
{
  "formula": "HfSc2Mo",
  "functional": "meta-GGA SCAN",
  "state": "single point on PBEsol structure",
  "vol_a3_per_atom": 20.37,
  "spacegroup": "R-3m, No. 166",
  "total_energy_ev_per_cell": -124.3,
  "lattice_angstrom": [[1.4984, 0.8651, 10.4770], [-1.4984, 0.8651, 10.4770], [0.0000, -1.7302, 10.4770]],
  "species": ["Hf", "Sc", "Sc", "Mo"],
  "fractional_positions": [[0.0000, 0.0000, 0.0000], [0.0950, 0.0950, 0.0950], [0.9050, 0.9050, 0.9050], [0.5000, 0.5000, 0.5000]]
}

***

Record 2
{
  "formula": "HfMoSe2",
  "functional": "meta-GGA SCAN",
  "state": "single point on PBEsol structure",
  "e_form_raw_ev_per_atom": -0.08,
  "vol_a3_per_atom": 19.28,
  "spacegroup": "R-3m, No. 166",
  "lattice_angstrom": [[1.6028, 0.9254, 8.6664], [-1.6028, 0.9254, 8.6664], [0.0000, -1.8507, 8.6664]],
  "species": ["Hf", "Mo", "Se", "Se"],
  "fractional_positions": [[0.0000, 0.0000, 0.0000], [0.5000, 0.5000, 0.5000], [0.4060, 0.4060, 0.4060], [0.5940, 0.5940, 0.5940]]
}

***

Record 3
{
  "formula": "Hf2Si4Mo3",
  "functional": "meta-GGA SCAN",
  "state": "single point on PBEsol structure",
  "e_form_raw_ev_per_atom": -0.65,
  "vol_a3_per_atom": 15.12,
  "spacegroup": "Pnma, No. 62",
  "lattice_angstrom": [[6.5193, 0.0000, 0.0000], [0.0000, 12.4717, 0.0000], [0.0000, 0.0000, 6.6964]],
  "species": ["Hf", "Hf", "Hf", "Hf", "Hf", "Hf", "Hf", "Hf", "Si", "Si", "Si", "Si", "Si", "Si", "Si", "Si", "Si", "Si", "Si", "Si", "Si", "Si", "Si", "Si", "Mo", "Mo", "Mo", "Mo", "Mo", "Mo", "Mo", "Mo", "Mo", "Mo", "Mo", "Mo"],
  "fractional_positions": [[0.0072, 0.0920, 0.1696], [0.0072, 0.4080, 0.1696], [0.4928, 0.5920, 0.6696], [0.4928, 0.9080, 0.6696], [0.5072, 0.0920, 0.3304], [0.5072, 0.4080, 0.3304], [0.9928, 0.5920, 0.8304], [0.9928, 0.9080, 0.8304], [0.0320, 0.2500, 0.8781], [0.1670, 0.0433, 0.5409], [0.1670, 0.4567, 0.5409], [0.1994, 0.7500, 0.6394], [0.3006, 0.2500, 0.1394], [0.3330, 0.5433, 0.0409], [0.3330, 0.9567, 0.0409], [0.4680, 0.7500, 0.3781], [0.5320, 0.2500, 0.6219], [0.6670, 0.0433, 0.9591], [0.6670, 0.4567, 0.9591], [0.6994, 0.7500, 0.8606], [0.8006, 0.2500, 0.3606], [0.8330, 0.5433, 0.4591], [0.8330, 0.9567, 0.4591], [0.9680, 0.7500, 0.1219], [0.1673, 0.2500, 0.4881], [0.1702, 0.6234, 0.3368], [0.1702, 0.8766, 0.3368], [0.3298, 0.1234, 0.8368], [0.3298, 0.3766, 0.8368], [0.3327, 0.7500, 0.9881], [0.6673, 0.2500, 0.0119], [0.6702, 0.6234, 0.1632], [0.6702, 0.8766, 0.1632], [0.8298, 0.1234, 0.6632], [0.8298, 0.3766, 0.6632], [0.8327, 0.7500, 0.5119]]
}

***

Record 4
{
  "formula": "Hf10SiMo3",
  "functional": "meta-GGA SCAN",
  "state": "single point on PBEsol structure",
  "e_form_raw_ev_per_atom": -0.17,
  "vol_a3_per_atom": 19.70,
  "spacegroup": "P6_3/mmc, No. 194",
  "lattice_angstrom": [[8.5750, 0.0000, 0.0000], [-4.2875, 7.4262, 0.0000], [0.0000, 0.0000, 8.6612]],
  "species": ["Hf", "Hf", "Hf", "Hf", "Hf", "Hf", "Hf", "Hf", "Hf", "Hf", "Hf", "Hf", "Hf", "Hf", "Hf", "Hf", "Hf", "Hf", "Hf", "Hf", "Si", "Si", "Mo", "Mo", "Mo", "Mo", "Mo", "Mo"],
  "fractional_positions": [[0.0000, 0.0000, 0.0000], [0.0000, 0.0000, 0.5000], [0.0768, 0.5384, 0.2500], [0.2004, 0.4008, 0.5446], [0.2004, 0.4008, 0.9554], [0.2004, 0.7996, 0.5446], [0.2004, 0.7996, 0.9554], [0.4008, 0.2004, 0.0446], [0.4008, 0.2004, 0.4554], [0.4616, 0.5384, 0.2500], [0.4616, 0.9232, 0.2500], [0.5384, 0.0768, 0.7500], [0.5384, 0.4616, 0.7500], [0.5992, 0.7996, 0.5446], [0.5992, 0.7996, 0.9554], [0.7996, 0.2004, 0.0446], [0.7996, 0.2004, 0.4554], [0.7996, 0.5992, 0.0446], [0.7996, 0.5992, 0.4554], [0.9232, 0.4616, 0.7500], [0.3333, 0.6667, 0.7500], [0.6667, 0.3333, 0.2500], [0.1145, 0.2291, 0.2500], [0.1145, 0.8855, 0.2500], [0.2291, 0.1145, 0.7500], [0.7709, 0.8855, 0.2500], [0.8855, 0.1145, 0.7500], [0.8855, 0.7709, 0.7500]]
}

***

Record 5
{
  "formula": "HfSi2Mo2",
  "functional": "meta-GGA SCAN",
  "state": "single point on PBEsol structure",
  "e_form_raw_ev_per_atom": 0.11,
  "vol_a3_per_atom": 16.86,
  "spacegroup": "I4/mmm, No. 139",
  "lattice_angstrom": [[-2.2645, 2.2645, 4.1086], [2.2645, -2.2645, 4.1086], [2.2645, 2.2645, -4.1086]],
  "species": ["Hf", "Si", "Si", "Mo", "Mo"],
  "fractional_positions": [[0.0000, 0.0000, 0.0000], [0.2500, 0.7500, 0.5000], [0.7500, 0.2500, 0.5000], [0.3624, 0.3624, 0.0000], [0.6376, 0.6376, 0.0000]]
}

***

Record 6
{
  "formula": "YHfSiMo2",
  "functional": "meta-GGA SCAN",
  "state": "single point on PBEsol structure",
  "e_form_raw_ev_per_atom": 1.66,
  "vol_a3_per_atom": 23.69,
  "spacegroup": "P4/mmm, No. 123",
  "lattice_angstrom": [[4.6594, 0.0000, 0.0000], [0.0000, 4.6594, 0.0000], [0.0000, 0.0000, 5.4570]],
  "species": ["Y", "Hf", "Si", "Mo", "Mo"],
  "fractional_positions": [[0.0000, 0.0000, 0.0000], [0.0000, 0.0000, 0.5000], [0.5000, 0.5000, 0.0000], [0.0000, 0.5000, 0.5000], [0.5000, 0.0000, 0.5000]]
}

***

Record 7
{
  "formula": "HfSn2Mo",
  "functional": "meta-GGA SCAN",
  "state": "single point on PBEsol structure",
  "vol_a3_per_atom": 19.15,
  "spacegroup": "Fm-3m, No. 225",
  "total_energy_ev_per_cell": -169.0,
  "lattice_angstrom": [[0.0000, 3.3707, 3.3707], [3.3707, 0.0000, 3.3707], [3.3707, 3.3707, 0.0000]],
  "species": ["Hf", "Sn", "Sn", "Mo"],
  "fractional_positions": [[0.0000, 0.0000, 0.0000], [0.2500, 0.2500, 0.2500], [0.7500, 0.7500, 0.7500], [0.5000, 0.5000, 0.5000]]
}

***

Record 8
{
  "formula": "Hf3TeMo",
  "functional": "meta-GGA SCAN",
  "state": "single point on PBEsol structure",
  "e_form_raw_ev_per_atom": 0.60,
  "vol_a3_per_atom": 24.37,
  "spacegroup": "Pm-3m, No. 221",
  "lattice_angstrom": [[4.9574, 0.0000, 0.0000], [0.0000, 4.9574, 0.0000], [0.0000, 0.0000, 4.9574]],
  "species": ["Hf", "Hf", "Hf", "Te", "Mo"],
  "fractional_positions": [[0.0000, 0.0000, 0.5000], [0.0000, 0.5000, 0.0000], [0.5000, 0.0000, 0.0000], [0.5000, 0.5000, 0.5000], [0.0000, 0.0000, 0.0000]]
}

***

Record 9
{
  "formula": "HfTiMo4",
  "functional": "meta-GGA SCAN",
  "state": "single point on PBEsol structure",
  "vol_a3_per_atom": 16.95,
  "spacegroup": "F-43m, No. 216",
  "total_energy_ev_per_cell": -218.8,
  "lattice_angstrom": [[0.0000, 3.7051, 3.7051], [3.7051, 0.0000, 3.7051], [3.7051, 3.7051, 0.0000]],
  "species": ["Hf", "Ti", "Mo", "Mo", "Mo", "Mo"],
  "fractional_positions": [[0.0000, 0.0000, 0.0000], [0.2500, 0.2500, 0.2500], [0.1253, 0.6249, 0.6249], [0.6249, 0.1253, 0.6249], [0.6249, 0.6249, 0.1253], [0.6249, 0.6249, 0.6249]]
}

***

Record 10
{
  "formula": "HfTi2Mo",
  "functional": "meta-GGA SCAN",
  "state": "single point on PBEsol structure",
  "vol_a3_per_atom": 16.81,
  "spacegroup": "Fm-3m, No. 225",
  "total_energy_ev_per_cell": -129.3,
  "lattice_angstrom": [[0.0000, 3.2272, 3.2272], [3.2272, 0.0000, 3.2272], [3.2272, 3.2272, 0.0000]],
  "species": ["Hf", "Ti", "Ti", "Mo"],
  "fractional_positions": [[0.0000, 0.0000, 0.0000], [0.2500, 0.2500, 0.2500], [0.7500, 0.7500, 0.7500], [0.5000, 0.5000, 0.5000]]
}

***

Record 11
{
  "formula": "Hf3TlMo",
  "functional": "meta-GGA SCAN",
  "state": "single point on PBEsol structure",
  "vol_a3_per_atom": 24.53,
  "spacegroup": "Pm-3m, No. 221",
  "total_energy_ev_per_cell": -291.6,
  "lattice_angstrom": [[4.9686, 0.0000, 0.0000], [0.0000, 4.9686, 0.0000], [0.0000, 0.0000, 4.9686]],
  "species": ["Hf", "Hf", "Hf", "Tl", "Mo"],
  "fractional_positions": [[0.0000, 0.0000, 0.5000], [0.0000, 0.5000, 0.0000], [0.5000, 0.0000, 0.0000], [0.5000, 0.5000, 0.5000], [0.0000, 0.0000, 0.0000]]
}

***

Record 12
{
  "formula": "HfTl2Mo",
  "functional": "meta-GGA SCAN",
  "state": "single point on PBEsol structure",
  "vol_a3_per_atom": 19.51,
  "spacegroup": "Fm-3m, No. 225",
  "total_energy_ev_per_cell": -240.2,
  "lattice_angstrom": [[0.0000, 3.3920, 3.3920], [3.3920, 0.0000, 3.3920], [3.3920, 3.3920, 0.0000]],
  "species": ["Hf", "Tl", "Tl", "Mo"],
  "fractional_positions": [[0.0000, 0.0000, 0.0000], [0.2500, 0.2500, 0.2500], [0.7500, 0.7500, 0.7500], [0.5000, 0.5000, 0.5000]]
}

***

Record 13
{
  "formula": "HfMo2W",
  "functional": "meta-GGA SCAN",
  "state": "single point on PBEsol structure",
  "vol_a3_per_atom": 16.28,
  "spacegroup": "Fm-3m, No. 225",
  "total_energy_ev_per_cell": -202.4,
  "lattice_angstrom": [[0.0000, 3.1930, 3.1930], [3.1930, 0.0000, 3.1930], [3.1930, 3.1930, 0.0000]],
  "species": ["Hf", "Mo", "Mo", "W"],
  "fractional_positions": [[0.0000, 0.0000, 0.0000], [0.2500, 0.2500, 0.2500], [0.7500, 0.7500, 0.7500], [0.5000, 0.5000, 0.5000]]
}

***

Record 14
{
  "formula": "HfMo3W",
  "functional": "meta-GGA SCAN",
  "state": "single point on PBEsol structure",
  "vol_a3_per_atom": 20.49,
  "spacegroup": "Pm-3m, No. 221",
  "total_energy_ev_per_cell": -229.7,
  "lattice_angstrom": [[4.6795, 0.0000, 0.0000], [0.0000, 4.6795, 0.0000], [0.0000, 0.0000, 4.6795]],
  "species": ["Hf", "Mo", "Mo", "Mo", "W"],
  "fractional_positions": [[0.0000, 0.0000, 0.0000], [0.0000, 0.5000, 0.5000], [0.5000, 0.0000, 0.5000], [0.5000, 0.5000, 0.0000], [0.5000, 0.5000, 0.5000]]
}

***

Record 15
{
  "formula": "YHfMo3",
  "functional": "meta-GGA SCAN",
  "state": "single point on PBEsol structure",
  "vol_a3_per_atom": 21.89,
  "spacegroup": "Pm-3m, No. 221",
  "total_energy_ev_per_cell": -188.2,
  "lattice_angstrom": [[4.7835, 0.0000, 0.0000], [0.0000, 4.7835, 0.0000], [0.0000, 0.0000, 4.7835]],
  "species": ["Y", "Hf", "Mo", "Mo", "Mo"],
  "fractional_positions": [[0.0000, 0.0000, 0.0000], [0.5000, 0.5000, 0.5000], [0.0000, 0.5000, 0.5000], [0.5000, 0.0000, 0.5000], [0.5000, 0.5000, 0.0000]]
}

***

Record 16
{
  "formula": "Hf2ZnMo",
  "functional": "meta-GGA SCAN",
  "state": "single point on PBEsol structure",
  "vol_a3_per_atom": 17.57,
  "spacegroup": "Fm-3m, No. 225",
  "total_energy_ev_per_cell": -174.6,
  "lattice_angstrom": [[0.0000, 3.2753, 3.2753], [3.2753, 0.0000, 3.2753], [3.2753, 3.2753, 0.0000]],
  "species": ["Hf", "Hf", "Zn", "Mo"],
  "fractional_positions": [[0.2500, 0.2500, 0.2500], [0.7500, 0.7500, 0.7500], [0.0000, 0.0000, 0.0000], [0.5000, 0.5000, 0.5000]]
}

***

Record 17
{
  "formula": "HfZrMo4",
  "functional": "meta-GGA SCAN",
  "state": "single point on PBEsol structure",
  "vol_a3_per_atom": 17.62,
  "spacegroup": "F-43m, No. 216",
  "total_energy_ev_per_cell": -233.9,
  "lattice_angstrom": [[0.0000, 3.7533, 3.7533], [3.7533, 0.0000, 3.7533], [3.7533, 3.7533, 0.0000]],
  "species": ["Hf", "Zr", "Mo", "Mo", "Mo", "Mo"],
  "fractional_positions": [[0.0000, 0.0000, 0.0000], [0.7500, 0.7500, 0.7500], [0.3750, 0.3750, 0.3750], [0.3750, 0.3750, 0.8750], [0.3750, 0.8750, 0.3750], [0.8750, 0.3750, 0.3750]]
}

***

Record 18
{
  "formula": "Hf3N4",
  "functional": "meta-GGA SCAN",
  "state": "single point on PBEsol structure",
  "e_form_raw_ev_per_atom": -1.94,
  "vol_a3_per_atom": 11.79,
  "polymorph_energy_mev_per_atom": 0,
  "spacegroup": "Pnma, No. 62",
  "lattice_angstrom": [[9.6540, 0.0000, 0.0000], [0.0000, 3.2162, 0.0000], [0.0000, 0.0000, 10.6327]],
  "species": ["Hf", "Hf", "Hf", "Hf", "Hf", "Hf", "Hf", "Hf", "Hf", "Hf", "Hf", "Hf", "N", "N", "N", "N", "N", "N", "N", "N", "N", "N", "N", "N", "N", "N", "N", "N"],
  "fractional_positions": [[0.0693, 0.2500, 0.1235], [0.1077, 0.2500, 0.5927], [0.2285, 0.2500, 0.8519], [0.2715, 0.7500, 0.3519], [0.3923, 0.7500, 0.0927], [0.4307, 0.7500, 0.6235], [0.5693, 0.2500, 0.3765], [0.6077, 0.2500, 0.9073], [0.7285, 0.2500, 0.6481], [0.7715, 0.7500, 0.1481], [0.8923, 0.7500, 0.4073], [0.9307, 0.7500, 0.8765], [0.0069, 0.2500, 0.7747], [0.1029, 0.7500, 0.4696], [0.1425, 0.7500, 0.9819], [0.2366, 0.7500, 0.7133], [0.2634, 0.2500, 0.2133], [0.3575, 0.2500, 0.4819], [0.3971, 0.2500, 0.9696], [0.4931, 0.7500, 0.2747], [0.5069, 0.2500, 0.7253], [0.6029, 0.7500, 0.0304], [0.6425, 0.7500, 0.5181], [0.7366, 0.7500, 0.7867], [0.7634, 0.2500, 0.2867], [0.8575, 0.2500, 0.0181], [0.8971, 0.2500, 0.5304], [0.9931, 0.7500, 0.2253]]
}

***

Record 19
{
  "formula": "Hf3N4",
  "functional": "meta-GGA SCAN",
  "state": "single point on PBEsol structure",
  "e_form_raw_ev_per_atom": -1.85,
  "vol_a3_per_atom": 10.41,
  "polymorph_energy_mev_per_atom": 88,
  "spacegroup": "I-43d, No. 220",
  "lattice_angstrom": [[-3.3153, 3.3153, 3.3153], [3.3153, -3.3153, 3.3153], [3.3153, 3.3153, -3.3153]],
  "species": ["Hf", "Hf", "Hf", "Hf", "Hf", "Hf", "N", "N", "N", "N", "N", "N", "N", "N"],
  "fractional_positions": [[0.1250, 0.7500, 0.8750], [0.2500, 0.6250, 0.3750], [0.3750, 0.2500, 0.6250], [0.6250, 0.3750, 0.2500], [0.7500, 0.8750, 0.1250], [0.8750, 0.1250, 0.7500], [0.0000, 0.3601, 0.5000], [0.0000, 0.8601, 0.5000], [0.1399, 0.1399, 0.1399], [0.3601, 0.5000, 0.0000], [0.5000, 0.0000, 0.3601], [0.5000, 0.0000, 0.8601], [0.6399, 0.6399, 0.6399], [0.8601, 0.5000, 0.0000]]
}

***

Record 20
{
  "formula": "Hf3N4",
  "functional": "meta-GGA SCAN",
  "state": "single point on PBEsol structure",
  "e_form_raw_ev_per_atom": -1.92,
  "vol_a3_per_atom": 12.95,
  "polymorph_energy_mev_per_atom": 19,
  "spacegroup": "Fd-3m, No. 227",
  "lattice_angstrom": [[0.0000, 4.4916, 4.4916], [4.4916, 0.0000, 4.4916], [4.4916, 4.4916, 0.0000]],
  "species": ["Hf", "Hf", "Hf", "Hf", "Hf", "Hf", "N", "N", "N", "N", "N", "N", "N", "N"],
  "fractional_positions": [[0.0000, 0.0000, 0.0000], [0.0000, 0.0000, 0.5000], [0.0000, 0.5000, 0.0000], [0.3750, 0.3750, 0.3750], [0.5000, 0.0000, 0.0000], [0.6250, 0.6250, 0.6250], [0.2265, 0.7578, 0.7578], [0.2422, 0.2422, 0.2422], [0.2422, 0.2422, 0.7735], [0.2422, 0.7735, 0.2422], [0.7578, 0.2265, 0.7578], [0.7578, 0.7578, 0.2265], [0.7578, 0.7578, 0.7578], [0.7735, 0.2422, 0.2422]]
}